Hg2GePbS4 after structural relaxation. Source: the Alexandria database, functional PBE-GGA.

The structure in POSCAR format:
```
Hg2GePbS4
1.0
8.177 0.000 0.000
0.000 8.894 0.000
0.000 0.000 6.390
Hg Ge Pb S
4 2 2 8
direct
0.247 0.152 0.000
0.253 0.848 0.500
0.747 0.848 0.500
0.753 0.152 0.000
0.000 0.700 0.013
0.500 0.300 0.513
0.000 0.334 0.512
0.500 0.666 0.012
0.000 0.315 0.084
0.000 0.706 0.638
0.234 0.864 0.083
0.266 0.136 0.583
0.500 0.294 0.138
0.500 0.685 0.584
0.734 0.136 0.583
0.766 0.864 0.083
```

Its energy relative to the elements, uncorrected is -1.54 eV per formula unit. The total moment comes out at 0.00 Bohr magnetons per cell. Its symmetry is Pmn2_1, No. 31. The calculation puts the total DFT energy (no corrections) at -53.957 eV for the cell shown.

Hf4Ge6Os7 after structural relaxation. Source: the Alexandria database, functional PBE-GGA.

The structure in POSCAR format:
```
Hf4Ge6Os7
1.0
-4.091 4.091 4.091
4.091 -4.091 4.091
4.091 4.091 -4.091
Hf Ge Os
4 6 7
direct
0.000 0.000 0.500
0.000 0.500 0.000
0.500 0.000 0.000
0.500 0.500 0.500
0.000 0.306 0.306
0.000 0.694 0.694
0.306 0.000 0.306
0.306 0.306 0.000
0.694 0.000 0.694
0.694 0.694 0.000
0.000 0.000 0.000
0.250 0.500 0.750
0.250 0.750 0.500
0.500 0.250 0.750
0.500 0.750 0.250
0.750 0.250 0.500
0.750 0.500 0.250
```

The value obtained for the formation energy from the elements is -445 meV per atom. The total moment comes out at 0.00 Bohr magnetons per cell. Its symmetry is Im-3m, No. 229. The calculation puts the total DFT energy (no corrections) at -153.690 eV for the cell shown.

Ta3Ga after structural relaxation. Source: the Alexandria database, functional PBE-GGA.

The structure in POSCAR format:
```
Ta3Ga
1.0
4.119 0.000 0.000
0.000 4.119 0.000
0.000 0.000 4.119
Ta Ga
3 1
direct
0.000 0.000 0.500
0.000 0.500 0.000
0.500 0.000 0.000
0.500 0.500 0.500
```

The value obtained for the formation energy from the elements is -37 meV per atom. The total moment comes out at 0.00 Bohr magnetons per cell. Its symmetry is Pm-3m, No. 221. The calculation puts the total DFT energy (no corrections) at -38.733 eV for the cell shown.

CsNa3Br3 after structural relaxation. Source: the Alexandria database, functional PBE-GGA.

The structure in POSCAR format:
```
CsNa3Br3
1.0
8.337 0.000 0.000
0.000 8.337 0.000
0.000 0.000 8.337
Cs Na Br
2 6 6
direct
0.000 0.000 0.000
0.500 0.500 0.500
0.000 0.250 0.500
0.000 0.750 0.500
0.250 0.500 0.000
0.500 0.000 0.250
0.500 0.000 0.750
0.750 0.500 0.000
0.000 0.500 0.250
0.000 0.500 0.750
0.250 0.000 0.500
0.500 0.250 0.000
0.500 0.750 0.000
0.750 0.000 0.500
```

Its energy relative to the elements, uncorrected is -8.69 eV per formula unit. The total moment comes out at 0.00 Bohr magnetons per cell. Its symmetry is Pm-3n, No. 223. The calculation puts the total DFT energy (no corrections) at -37.048 eV for the cell shown.

Pu2TiSe5 after structural relaxation. Source: the Alexandria database, functional PBE-GGA.

The structure in POSCAR format:
```
Pu2TiSe5
1.0
2.778 -6.632 0.000
2.778 6.632 0.000
0.000 0.000 12.755
Pu Ti Se
4 2 10
direct
0.151 0.849 0.567
0.151 0.849 0.933
0.849 0.151 0.067
0.849 0.151 0.433
0.200 0.800 0.250
0.800 0.200 0.750
0.051 0.949 0.126
0.051 0.949 0.374
0.278 0.722 0.750
0.319 0.681 0.084
0.319 0.681 0.416
0.681 0.319 0.584
0.681 0.319 0.916
0.722 0.278 0.250
0.949 0.051 0.626
0.949 0.051 0.874
```

Its energy relative to the elements, uncorrected is -9.66 eV per formula unit. The total moment comes out at 20.00 Bohr magnetons per cell. Its symmetry is Cmcm, No. 63. The calculation puts the total DFT energy (no corrections) at -127.279 eV for the cell shown.

TbGa5Au7 after structural relaxation. Source: the Alexandria database, functional PBE-GGA.

The structure in POSCAR format:
```
TbGa5Au7
1.0
-2.821 4.702 4.550
2.821 -4.702 4.550
2.821 4.702 -4.550
Tb Ga Au
1 5 7
direct
0.000 0.000 0.000
0.007 0.020 0.501
0.007 0.506 0.987
0.253 0.753 0.500
0.519 0.020 0.013
0.519 0.506 0.499
0.217 0.526 0.690
0.322 0.322 0.000
0.332 0.000 0.332
0.668 0.000 0.668
0.672 0.672 0.000
0.780 0.280 0.500
0.836 0.526 0.310
```

The value obtained for the formation energy from the elements is -288 meV per atom. The total moment comes out at 0.00 Bohr magnetons per cell. Its symmetry is Imm2, No. 44. The calculation puts the total DFT energy (no corrections) at -46.454 eV for the cell shown.

Ca2C after structural relaxation. Source: the Alexandria database, functional PBE-GGA.

The structure in POSCAR format:
```
Ca2C
1.0
3.196 -1.848 0.000
3.196 1.848 0.000
-2.064 0.000 20.208
Ca C
6 3
direct
0.145 0.145 0.434
0.265 0.265 0.762
0.311 0.311 0.906
0.689 0.689 0.094
0.735 0.735 0.238
0.855 0.855 0.566
0.379 0.379 0.166
0.500 0.500 0.500
0.621 0.621 0.834
```

The value obtained for the formation energy from the elements is 503 meV per atom. The total moment comes out at 2.34 Bohr magnetons per cell. Its symmetry is C2/m, No. 12. The calculation puts the total DFT energy (no corrections) at -35.154 eV for the cell shown.

Ce2Er after structural relaxation. Source: the Alexandria database, functional PBE-GGA.

The structure in POSCAR format:
```
Ce2Er
1.0
3.421 0.000 0.000
0.000 3.421 0.000
0.000 0.000 14.629
Ce Er
4 2
direct
0.000 0.000 0.172
0.000 0.000 0.828
0.500 0.500 0.328
0.500 0.500 0.672
0.000 0.000 0.500
0.500 0.500 0.000
```

The value obtained for the formation energy from the elements is 74 meV per atom. The total moment comes out at 0.00 Bohr magnetons per cell. Its symmetry is I4/mmm, No. 139. The calculation puts the total DFT energy (no corrections) at -32.417 eV for the cell shown.

SrCuBiSb after structural relaxation. Source: the Alexandria database, functional PBE-GGA.

The structure in POSCAR format:
```
SrCuBiSb
1.0
4.549 0.000 0.000
0.000 4.549 0.000
0.000 0.000 10.757
Sr Cu Bi Sb
2 2 2 2
direct
0.250 0.250 0.233
0.750 0.750 0.767
0.250 0.750 0.000
0.750 0.250 0.000
0.250 0.750 0.500
0.750 0.250 0.500
0.250 0.250 0.869
0.750 0.750 0.131
```

Its energy relative to the elements, uncorrected is -1.90 eV per formula unit. The total moment comes out at 0.00 Bohr magnetons per cell. Its symmetry is P4/nmm, No. 129. The calculation puts the total DFT energy (no corrections) at -31.364 eV for the cell shown.

KNa2AsO4 after structural relaxation. Source: the Alexandria database, functional PBE-GGA.

The structure in POSCAR format:
```
KNa2AsO4
1.0
8.069 0.000 0.000
0.000 5.742 0.000
0.000 0.000 5.669
K Na As O
2 4 2 8
direct
0.000 0.216 0.000
0.500 0.784 0.500
0.248 0.304 0.514
0.252 0.696 0.014
0.748 0.696 0.014
0.752 0.304 0.514
0.000 0.803 0.529
0.500 0.197 0.029
0.000 0.101 0.480
0.000 0.753 0.831
0.177 0.682 0.409
0.323 0.318 0.909
0.500 0.247 0.331
0.500 0.899 0.980
0.677 0.318 0.909
0.823 0.682 0.409
```

Its energy relative to the elements, uncorrected is -13.70 eV per formula unit. The total moment comes out at 0.00 Bohr magnetons per cell. Its symmetry is Pmn2_1, No. 31. The calculation puts the total DFT energy (no corrections) at -83.841 eV for the cell shown.

CsNaSnCl6 after structural relaxation. Source: the Alexandria database, functional PBE-GGA.

The structure in POSCAR format:
```
CsNaSnCl6
1.0
7.069 0.000 0.000
-3.535 6.122 0.000
0.000 0.000 7.548
Cs Na Sn Cl
1 1 1 6
direct
0.000 0.000 0.000
0.333 0.667 0.500
0.667 0.333 0.500
0.391 0.039 0.691
0.391 0.352 0.309
0.648 0.039 0.309
0.648 0.609 0.691
0.961 0.352 0.691
0.961 0.609 0.309
```

Its energy relative to the elements, uncorrected is -12.73 eV per formula unit. The total moment comes out at 0.00 Bohr magnetons per cell. Its symmetry is P312, No. 149. The calculation puts the total DFT energy (no corrections) at -29.982 eV for the cell shown.

CaTa2Fe after structural relaxation. Source: the Alexandria database, functional PBE-GGA.

The structure in POSCAR format:
```
CaTa2Fe
1.0
3.011 0.000 0.000
0.000 4.978 0.000
0.000 0.000 10.016
Ca Ta Fe
2 4 2
direct
0.000 0.000 0.000
0.500 0.500 0.500
0.000 0.500 0.204
0.000 0.500 0.796
0.500 0.000 0.296
0.500 0.000 0.704
0.000 0.000 0.500
0.500 0.500 0.000
```

The value obtained for the formation energy from the elements is 389 meV per atom. The total moment comes out at 0.00 Bohr magnetons per cell. Its symmetry is Immm, No. 71. The calculation puts the total DFT energy (no corrections) at -65.230 eV for the cell shown.